First-principles (GGA-PBEsol) data for a relaxed structure of Ni3OF5, as listed in Alexandria.

Uncorrected formation energy = -1424 meV per atom
E above lowest polymorph = 0.05 eV/f.u.
Crystal system = monoclinic

a b c (Å): 3.005 4.587 13.757
angles (deg): 92.21 90.00 90.00
Site moments in Bohr magnetons follow the coordinates.
Fractional positions:
Ni 0.000 0.000 0.000  1.69
Ni 0.000 0.021 0.673  1.71
Ni 0.000 0.979 0.327  1.71
Ni 0.500 0.475 0.825  1.52
Ni 0.500 0.500 0.500  1.69
Ni 0.500 0.525 0.175  1.52
O 0.000 0.693 0.232  0.45
O 0.000 0.307 0.768  0.45
F 0.500 0.805 0.731  0.17
F 0.500 0.807 0.403  0.16
F 0.500 0.797 0.063  0.16
F 0.000 0.694 0.895  0.12
F 0.000 0.701 0.568  0.14
F 0.000 0.299 0.432  0.14
F 0.000 0.306 0.105  0.12
F 0.500 0.203 0.937  0.16
F 0.500 0.193 0.597  0.16
F 0.500 0.195 0.269  0.17

***

First-principles (GGA-PBEsol) data for a relaxed structure of LiTlSb3, as listed in Alexandria.

Uncorrected formation energy = 720 meV per atom
Crystal system = cubic

a b c (Å): 5.673 5.673 5.673
angles (deg): 90.00 90.00 90.00
Fractional positions:
Sb 0.000 0.500 0.000
Sb 0.000 0.000 0.500
Sb 0.500 0.000 0.000
Tl 0.000 0.000 0.000
Li 0.500 0.500 0.500

***

First-principles (GGA-PBEsol) data for a relaxed structure of Os3Se, as listed in Alexandria.

Uncorrected formation energy = 687 meV per atom
E above lowest polymorph = 0.00 eV/f.u.
Crystal system = orthorhombic

a b c (Å): 2.795 3.709 5.678
angles (deg): 90.00 90.00 90.00
Fractional positions:
Os 0.500 0.500 0.734
Os 0.000 0.000 0.500
Os 0.500 0.500 0.266
Se 0.000 0.000 0.000

***

First-principles (GGA-PBEsol) data for a relaxed structure of Na3Sc2P3O12, as listed in Alexandria.

Uncorrected formation energy = -2676 meV per atom
E above lowest polymorph = 0.00 eV/f.u.
Crystal system = monoclinic

a b c (Å): 8.908 8.908 9.119
angles (deg): 61.58 61.58 60.27
Fractional positions:
Na 0.958 0.663 0.561
Na 0.663 0.958 0.061
Na 0.397 0.617 0.236
Na 0.617 0.397 0.736
Na 0.097 0.246 0.322
Na 0.246 0.097 0.822
Sc 0.146 0.652 0.056
Sc 0.652 0.146 0.556
Sc 0.845 0.351 0.952
Sc 0.351 0.845 0.452
P 0.468 0.248 0.240
P 0.248 0.468 0.740
P 0.530 0.750 0.763
P 0.750 0.530 0.263
P 0.047 0.957 0.250
P 0.957 0.047 0.750
O 0.222 0.942 0.262
O 0.942 0.222 0.762
O 0.773 0.077 0.744
O 0.077 0.773 0.244
O 0.625 0.259 0.063
O 0.259 0.625 0.563
O 0.371 0.740 0.938
O 0.740 0.371 0.438
O 0.517 0.250 0.380
O 0.250 0.517 0.880
O 0.485 0.741 0.625
O 0.741 0.485 0.125
O 0.431 0.073 0.295
O 0.073 0.431 0.795
O 0.558 0.930 0.703
O 0.930 0.558 0.203
O 0.293 0.414 0.218
O 0.414 0.293 0.718
O 0.707 0.586 0.784
O 0.586 0.707 0.284
O 0.009 0.116 0.086
O 0.116 0.009 0.586
O 0.989 0.887 0.918
O 0.887 0.989 0.418

***

First-principles (GGA-PBEsol) data for a relaxed structure of Y2NbNiSn, as listed in Alexandria.

Crystal system = tetragonal
Energy of formation from the pure elements = 933.7 meV per atom

a b c (Å): 4.502 5.577 5.577
angles (deg): 90.00 90.00 90.00
Site moments in Bohr magnetons follow the coordinates.
Fractional positions:
Y 0.000 0.000 0.500  0.16
Y 0.000 0.500 0.000  0.16
Ni 0.500 0.000 0.000  0.10
Nb 0.500 0.500 0.500  2.10
Sn 0.000 0.000 0.000  0.01

***

First-principles (GGA-PBEsol) data for a relaxed structure of KPb2Cl, as listed in Alexandria.

Uncorrected formation energy = -94 meV per atom
E above lowest polymorph = 1.84 eV/f.u.
Crystal system = tetragonal

a b c (Å): 3.471 3.471 10.005
angles (deg): 90.00 90.00 90.00
Fractional positions:
Pb 0.000 0.000 0.791
Pb 0.000 0.000 0.209
K 0.500 0.500 0.500
Cl 0.500 0.500 0.000

***

First-principles (GGA-PBEsol) data for a relaxed structure of TlCdSi, as listed in Alexandria.

Uncorrected formation energy = 465 meV per atom
E above lowest polymorph = 0.00 eV/f.u.
Crystal system = cubic

a b c (Å): 4.691 4.691 4.691
angles (deg): 60.00 60.00 60.00
Fractional positions:
Cd 0.750 0.750 0.750
Si 0.000 0.000 0.000
Tl 0.500 0.500 0.500

***

First-principles (GGA-PBEsol) data for a relaxed structure of Hf2BePt2, as listed in Alexandria.

Crystal system = tetragonal
Energy of formation from the pure elements = -92.0 meV per atom

a b c (Å): 3.660 3.660 7.468
angles (deg): 104.18 104.18 90.00
Fractional positions:
Be 0.000 0.000 0.000
Hf 0.394 0.394 0.788
Hf 0.606 0.606 0.212
Pt 0.250 0.750 0.500
Pt 0.750 0.250 0.500

***

First-principles (GGA-PBEsol) data for a relaxed structure of AgSb3N, as listed in Alexandria.

Uncorrected formation energy = 535 meV per atom
E above lowest polymorph = 0.00 eV/f.u.
Crystal system = cubic

a b c (Å): 4.689 4.689 4.689
angles (deg): 90.00 90.00 90.00
Fractional positions:
Sb 0.000 0.500 0.000
Sb 0.000 0.000 0.500
Sb 0.500 0.000 0.000
Ag 0.500 0.500 0.500
N 0.000 0.000 0.000

***

First-principles (GGA-PBEsol) data for a relaxed structure of KTaCd2, as listed in Alexandria.

E above lowest polymorph = 0.33 eV/f.u.
Crystal system = monoclinic
Energy of formation from the pure elements = 588.3 meV per atom

a b c (Å): 2.781 5.022 7.495
angles (deg): 93.26 90.00 106.07
Fractional positions:
Cd 0.758 0.516 0.816
Cd 0.242 0.484 0.184
K 0.000 0.000 0.500
Ta 0.500 0.000 0.000

***

First-principles (GGA-PBEsol) data for a relaxed structure of TcPtPb, as listed in Alexandria.

Crystal system = trigonal
Energy of formation from the pure elements = 586.8 meV per atom

a b c (Å): 3.043 4.494 4.494
angles (deg): 120.00 90.00 90.00
Site moments in Bohr magnetons follow the coordinates.
Fractional positions:
Pb 0.963 0.000 0.000  -0.02
Pt 0.702 0.333 0.667  0.20
Tc 0.335 0.667 0.333  1.58

***

First-principles (GGA-PBEsol) data for a relaxed structure of Y2HgPb, as listed in Alexandria.

Crystal system = orthorhombic
Energy of formation from the pure elements = -525.6 meV per atom

a b c (Å): 4.048 4.727 6.225
angles (deg): 112.32 108.98 90.00
Fractional positions:
Pb 0.231 0.231 0.463
Y 0.000 0.500 0.000
Y 0.760 0.760 0.521
Hg 0.508 0.008 0.017

***

First-principles (GGA-PBEsol) data for a relaxed structure of RhSBrN2, as listed in Alexandria.

Uncorrected formation energy = 2191 meV per atom
E above lowest polymorph = 5.97 eV/f.u.
Crystal system = tetragonal

a b c (Å): 3.601 3.601 5.531
angles (deg): 90.00 90.00 90.00
Fractional positions:
S 0.000 0.000 0.500
Rh 0.500 0.500 0.500
Br 0.000 0.000 0.000
N 0.000 0.500 0.000
N 0.500 0.000 0.000

***

First-principles (GGA-PBEsol) data for a relaxed structure of SrCSCl2, as listed in Alexandria.

Uncorrected formation energy = -273 meV per atom
Crystal system = tetragonal

a b c (Å): 4.151 4.703 4.703
angles (deg): 90.00 90.00 90.00
Fractional positions:
Sr 0.500 0.500 0.500
S 0.500 0.000 0.000
C 0.000 0.000 0.000
Cl 0.000 0.000 0.500
Cl 0.000 0.500 0.000

***

First-principles (GGA-PBEsol) data for a relaxed structure of SrPt2Pb, as listed in Alexandria.

Crystal system = orthorhombic
Energy of formation from the pure elements = -350.9 meV per atom

a b c (Å): 3.546 4.869 5.838
angles (deg): 114.65 107.68 90.00
Fractional positions:
Pb 0.281 0.781 0.562
Pt 0.008 0.008 0.015
Pt 0.714 0.214 0.428
Sr 0.497 0.497 0.995

***

First-principles (GGA-PBEsol) data for a relaxed structure of LiZr2Ta, as listed in Alexandria.

E above lowest polymorph = 0.00 eV/f.u.
Crystal system = tetragonal
Energy of formation from the pure elements = 300.4 meV per atom

a b c (Å): 2.853 2.853 9.623
angles (deg): 90.00 90.00 90.00
Fractional positions:
Li 0.000 0.000 0.512
Ta 0.500 0.500 0.745
Zr 0.000 0.000 0.983
Zr 0.500 0.500 0.259

***

First-principles (GGA-PBEsol) data for a relaxed structure of Co2TcPt, as listed in Alexandria.

E above lowest polymorph = 0.11 eV/f.u.
Crystal system = monoclinic
Energy of formation from the pure elements = 4.7 meV per atom

a b c (Å): 2.615 4.434 4.512
angles (deg): 100.13 106.84 90.00
Site moments in Bohr magnetons follow the coordinates.
Fractional positions:
Co 0.997 0.999 0.993  0.98
Co 0.255 0.762 0.511  1.03
Tc 0.746 0.233 0.492  -0.13
Pt 0.502 0.506 0.004  0.09

***

First-principles (GGA-PBEsol) data for a relaxed structure of TlCuRu, as listed in Alexandria.

E above lowest polymorph = 0.00 eV/f.u.
Crystal system = tetragonal
Energy of formation from the pure elements = 550.7 meV per atom

a b c (Å): 3.149 3.149 5.193
angles (deg): 107.65 107.65 90.00
Fractional positions:
Cu 0.986 0.986 0.972
Ru 0.351 0.351 0.701
Tl 0.664 0.664 0.327

***

First-principles (GGA-PBEsol) data for a relaxed structure of MgTlN3, as listed in Alexandria.

Uncorrected formation energy = 1590 meV per atom
Crystal system = cubic

a b c (Å): 4.088 4.088 4.088
angles (deg): 90.00 90.00 90.00
Site moments in Bohr magnetons follow the coordinates.
Fractional positions:
Tl 0.500 0.500 0.500  -0.01
Mg 0.000 0.000 0.000  0.02
N 0.000 0.500 0.000  1.09
N 0.000 0.000 0.500  1.09
N 0.500 0.000 0.000  1.09

***

First-principles (GGA-PBEsol) data for a relaxed structure of SiH2F, as listed in Alexandria.

E above lowest polymorph = 0.00 eV/f.u.
Crystal system = tetragonal

a b c (Å): 3.651 3.651 5.910
angles (deg): 107.99 107.99 90.00
Fractional positions:
H 0.202 0.875 0.250
H 0.048 0.375 0.250
H 0.125 0.952 0.750
H 0.625 0.798 0.750
Si 0.250 0.750 0.500
Si 0.000 0.000 0.000
F 0.750 0.250 0.500
F 0.500 0.500 0.000

***

What are the DOS(E_F) values for these records? In order: 10.1; 4.5; 3.2; 0.0; 5.1; 2.3; 1.1; 4.0; 2.5; 2.8; 2.4; 2.8; 5.2; 0.8; 1.0; 5.2; 4.6; 3.4; 2.4; 0.9 states/eV/cell.